1.
Crystalline InSn2Pb at its relaxed geometry, computed with PBE.

* ΔE_f: 44 meV per atom
* symmetry: P4/mmm
* total moment: 0.0 μB per cell
* offset from the most stable computed form: 0.004 eV per atom
* calculated density: 8.1 g/cm3

Unit cell a=5.016 b=4.770 c=4.770 alpha=90.00 beta=90.00 gamma=90.00
Positions (direct):
1 Pb 0.500 0.000 0.000
2 Sn 0.000 0.000 0.500
3 Sn 0.000 0.500 0.000
4 In 0.500 0.500 0.500

2.
Crystalline In4SnPb5 at its relaxed geometry, computed with PBE.

* ΔE_f: 11 meV per atom
* symmetry: P4/mmm
* total moment: 0.0 μB per cell
* calculated density: 9.0 g/cm3

Unit cell a=3.571 b=3.571 c=23.243 alpha=90.00 beta=90.00 gamma=90.00
Positions (direct):
1 In 0.000 0.000 0.202
2 In 0.000 0.000 0.401
3 In 0.000 0.000 0.599
4 In 0.000 0.000 0.798
5 Sn 0.000 0.000 0.000
6 Pb 0.500 0.500 0.099
7 Pb 0.500 0.500 0.301
8 Pb 0.500 0.500 0.500
9 Pb 0.500 0.500 0.699
10 Pb 0.500 0.500 0.901

3.
Crystalline InSnPb at its relaxed geometry, computed with PBE.

* ΔE_f: 52 meV per atom
* symmetry: P3m1
* total moment: 0.0 μB per cell
* offset from the most stable computed form: 0.034 eV per atom
* calculated density: 8.4 g/cm3

Unit cell a=3.210 b=5.603 c=5.603 alpha=120.00 beta=90.00 gamma=90.00
Positions (direct):
1 Pb 0.626 0.667 0.333
2 Sn 0.227 0.333 0.667
3 In 0.147 0.000 0.000

4.
Crystalline InSnPb at its relaxed geometry, computed with PBE.

* ΔE_f: 18 meV per atom
* symmetry: Cmcm
* total moment: 0.0 μB per cell
* offset from the most stable computed form: 0.000 eV per atom
* calculated density: 8.4 g/cm3

Unit cell a=7.611 b=7.611 c=4.971 alpha=89.99 beta=89.99 gamma=37.09
Positions (direct):
1 In 0.580 0.580 0.750
2 In 0.420 0.420 0.250
3 Sn 0.078 0.078 0.250
4 Sn 0.922 0.922 0.750
5 Pb 0.746 0.746 0.250
6 Pb 0.254 0.254 0.750

5.
Crystalline In5SnPb4 at its relaxed geometry, computed with PBE.

* ΔE_f: 42 meV per atom
* symmetry: P4/mmm
* total moment: 0.0 μB per cell
* calculated density: 8.7 g/cm3

Unit cell a=3.992 b=3.992 c=18.144 alpha=90.00 beta=90.00 gamma=90.00
Positions (direct):
1 In 0.500 0.500 0.092
2 In 0.500 0.500 0.297
3 In 0.500 0.500 0.500
4 In 0.500 0.500 0.703
5 In 0.500 0.500 0.908
6 Sn 0.000 0.000 0.000
7 Pb 0.000 0.000 0.195
8 Pb 0.000 0.000 0.399
9 Pb 0.000 0.000 0.601
10 Pb 0.000 0.000 0.805

6.
Crystalline In8Sn5Pb at its relaxed geometry, computed with PBE.

* ΔE_f: 79 meV per atom
* symmetry: I-4
* total moment: 0.0 μB per cell
* calculated density: 7.1 g/cm3

Unit cell a=8.039 b=8.039 c=8.039 alpha=108.73 beta=108.73 gamma=110.96
Positions (direct):
1 In 0.972 0.752 0.098
2 In 0.248 0.346 0.220
3 In 0.637 0.845 0.418
4 In 0.155 0.573 0.792
5 In 0.781 0.363 0.208
6 In 0.127 0.028 0.780
7 In 0.654 0.873 0.902
8 In 0.427 0.219 0.582
9 Sn 0.841 0.250 0.831
10 Sn 0.750 0.582 0.591
11 Sn 0.418 0.009 0.169
12 Sn 0.500 0.500 0.000
13 Sn 0.991 0.159 0.409
14 Pb 0.250 0.750 0.500